No. 1
Gd2CoSi2 at its PBEsol-relaxed geometry. Source: Alexandria via LeMat-Bulk, functional SCAN.

The calculation puts the energy relative to the elements, uncorrected at -0.684 eV per atom. The calculation puts the density of states at the Fermi level at 2.8 states/eV/f.u.

The structure belongs to space group C2/m (No. 12); the cell edges are 10.4544, 4.1030 and 9.9458 Å and the angles 90.00°, 119.65° and 90.00°. The asymmetric unit holds Gd at (0.0030, 0.0000, 0.1724), Gd at (0.1869, 0.0000, 0.6023), Co at (0.2272, 0.5000, 0.8826), Si at (0.0017, 0.5000, 0.6308) and Si at (0.1545, 0.5000, 0.0669).

***

No. 2
CaMg2Ag at its PBEsol-relaxed geometry. Source: Alexandria via LeMat-Bulk, functional SCAN.

The calculation puts the energy relative to the elements at -0.143 eV/atom. The calculation puts the density of states at the Fermi level at 2.1 states/eV/f.u.

The structure belongs to space group I-4m2 (No. 119); the cell edges are 5.0838, 5.0838 and 7.0701 Å and the angles 90.00°, 90.00° and 90.00°. The asymmetric unit holds Ca at (0.0000, 0.0000, 0.0000), Mg at (0.0000, 0.0000, 0.5000), Mg at (0.0000, 0.5000, 0.7500) and Ag at (0.0000, 0.5000, 0.2500).

***

No. 3
Dy3Cu3Sb4 at its PBEsol-relaxed geometry. Source: Alexandria via LeMat-Bulk, functional SCAN.

The calculation puts the energy relative to the elements, uncorrected at -0.817 eV per atom. The calculation puts the density of states at the Fermi level at 0.3 states/eV/f.u.

The structure belongs to space group I-43d (No. 220); the cell edges are 9.4281, 9.4281 and 9.4281 Å and the angles 90.00°, 90.00° and 90.00°. The asymmetric unit holds Dy at (0.0000, 0.2500, 0.3750), Cu at (0.0000, 0.2500, 0.8750) and Sb at (0.0812, 0.0812, 0.0812).

***

No. 4
TcRuPt at its PBEsol-relaxed geometry. Source: Alexandria via LeMat-Bulk, functional SCAN.

The calculation puts the energy relative to the elements at -0.091 eV/atom. The calculation puts the density of states at the Fermi level at 2.4 states/eV/f.u. The calculation puts the energy above the most stable polymorph in this dataset at 0.050 eV per atom.

The structure belongs to space group P3m1 (No. 156); the cell edges are 2.7034, 2.7034 and 6.6783 Å and the angles 90.00°, 90.00° and 120.00°. The asymmetric unit holds Tc at (0.0000, 0.0000, 0.0000), Ru at (0.6667, 0.3333, 0.3060) and Pt at (0.3333, 0.6667, 0.6551).